1.
Material: Si2Bi4Cl
Method: DFT, GGA-PBE
State: relaxed

a = 8.804 Å, b = 8.804 Å, c = 8.804 Å
α = 143.77°, β = 143.77°, γ = 52.17°
Atoms (fractional coordinates):
Si  0.079  0.079  0.000
Si  0.921  0.921  0.000
Bi  0.000  0.500  0.500
Bi  0.249  0.249  0.000
Bi  0.500  0.000  0.500
Bi  0.751  0.751  0.000
Cl  0.500  0.500  0.000

Calculated values
The calculation puts the magnetization at 0.0 Bohr magnetons per cell. The space group is No. 139. As for the formation energy without anion corrections: 0.421 eV per atom. The crystal system is tetragonal. The density of states at the Fermi level comes out at 3.344 states/eV/cell.

---

2.
Material: Si3BiCl
Method: DFT, GGA-PBE
State: relaxed

a = 4.880 Å, b = 4.880 Å, c = 4.880 Å
α = 90.00°, β = 90.00°, γ = 90.00°
Atoms (fractional coordinates):
Si  0.000  0.000  0.500
Si  0.000  0.500  0.000
Si  0.500  0.000  0.000
Bi  0.500  0.500  0.500
Cl  0.000  0.000  0.000

Calculated values
The calculation puts the magnetization at 0.0 Bohr magnetons per cell. The space group is No. 221. As for the formation energy without anion corrections: 1.010 eV per atom. The relative energy among the computed polymorphs is 0 meV per atom. The crystal system is cubic. The density of states at the Fermi level comes out at 5.174 states/eV/cell.

---

Copy entry 1 word for word.
Material: Si2Bi4Cl
Method: DFT, GGA-PBE
State: relaxed

a = 8.804 Å, b = 8.804 Å, c = 8.804 Å
α = 143.77°, β = 143.77°, γ = 52.17°
Atoms (fractional coordinates):
Si  0.079  0.079  0.000
Si  0.921  0.921  0.000
Bi  0.000  0.500  0.500
Bi  0.249  0.249  0.000
Bi  0.500  0.000  0.500
Bi  0.751  0.751  0.000
Cl  0.500  0.500  0.000

Calculated values
The calculation puts the magnetization at 0.0 Bohr magnetons per cell. The space group is No. 139. As for the formation energy without anion corrections: 0.421 eV per atom. The crystal system is tetragonal. The density of states at the Fermi level comes out at 3.344 states/eV/cell.

---

> What is the formation energy without anion corrections in the second record?

1.010 eV per atom